Entry from Alexandria via LeMat-Bulk: crystalline LaY2Tc at its relaxed geometry (PBE).

POSCAR file:
```
LaY2Tc
1.0
0.000 3.697 3.697
3.697 0.000 3.697
3.697 3.697 0.000
La Y Tc
1 2 1
direct
0.000 0.000 0.000 La
0.250 0.250 0.250 Y
0.750 0.750 0.750 Y
0.500 0.500 0.500 Tc
```

Values from the calculation:
- Total magnetic moment: 0.0 μB/f.u.
- ΔH_f (0 K): 273 meV/atom
- Density: 6812 kg/m³
- Crystal system: cubic
- E above lowest polymorph: 365 meV per atom
- VASP energy: -27.13 eV for the cell shown
- D(E_F): 5.752 states/eV/cell